{
  "formula": "Lu2AlGe",
  "functional": "PBE-GGA",
  "state": "optimized geometry",
  "e_form_ev_per_fu": -1.86,
  "total_energy_ev_per_atom": -4.8166,
  "m_tot_mub_per_fu": 0.00,
  "lattice_angstrom": [[-0.0956, 1.2280, 3.8039], [-2.3761, -3.8227, 1.1743], [3.9975, -2.2325, 0.8211]],
  "species": ["Ge", "Lu", "Lu", "Al"],
  "fractional_positions": [[0.5000, 0.0000, 0.0000], [0.0000, 0.0000, 0.5000], [0.0000, 0.5000, 0.0000], [0.5000, 0.5000, 0.5000]]
}